Entry 1:
First-principles (GGA-PBE) data for a relaxed structure of HoTe2O6, as listed in Alexandria.

The structure belongs to space group C2/c (No. 15); the cell edges are 11.398, 8.163 and 7.742 Å and the angles 90.00°, 117.52° and 90.00°. Symmetry generates all atoms from Ho at (0.000, 0.075, 0.250), Te at (0.196, 0.474, 0.266), O at (0.118, 0.061, 0.600), O at (0.142, 0.258, 0.272) and O at (0.172, 0.444, 0.990).

The value obtained for the final energy is -6.15 eV/atom. For the size of the total moment, the calculation gives 0.00 μB/f.u. For the density of states at the Fermi level, the calculation gives 9.30 states/eV/cell. The volume is 638.8 Å³/cell. The calculation puts the mass density at 5.37 Mg/m³.

Entry 2:
First-principles (GGA-PBE) data for a relaxed structure of BaSrCeZrO6, as listed in Alexandria.

The structure belongs to space group F-43m (No. 216); the cell edges are 8.679, 8.679 and 8.679 Å and the angles 90.00°, 90.00° and 90.00°. Symmetry generates all atoms from Ba at (0.000, 0.000, 0.000), Sr at (0.000, 0.000, 0.500), Ce at (0.250, 0.250, 0.750), Zr at (0.250, 0.250, 0.250) and O at (0.007, 0.250, 0.250).

The energy above the lowest structure with this stoichiometry is 51 meV per atom. The value obtained for the final energy is -7.92 eV/atom. For the size of the total moment, the calculation gives 0.00 μB/f.u. For the density of states at the Fermi level, the calculation gives 0.00 states/eV/cell. The volume is 653.8 Å³/cell. The calculation puts the mass density at 5.61 Mg/m³.

Entry 3:
First-principles (GGA-PBE) data for a relaxed structure of Li3Zn, as listed in Alexandria.

The structure belongs to space group P6_3/mmc (No. 194); the cell edges are 5.7169, 5.7169 and 9.4515 Å and the angles 90.00°, 90.00° and 120.00°. Symmetry generates all atoms from Li at (0.0000, 0.5000, 0.0000), Li at (0.1607, 0.3214, 0.2500), Zn at (0.0000, 0.0000, 0.0000) and Zn at (0.3333, 0.6667, 0.7500).

The value obtained for the final energy is -1.84 eV/atom. For the size of the total moment, the calculation gives 0.00 μB/f.u. The value obtained for the formation energy is -0.4 eV per formula unit. For the density of states at the Fermi level, the calculation gives 5.25 states/eV/cell. The volume is 267.5 Å³/cell. The calculation puts the mass density at 2.14 Mg/m³.

Entry 4:
First-principles (GGA-PBE) data for a relaxed structure of LiRe2Pt, as listed in Alexandria.

The structure belongs to space group Immm (No. 71); the cell edges are 3.225, 4.051 and 8.639 Å and the angles 90.00°, 90.00° and 90.00°. Symmetry generates all atoms from Li at (0.000, 0.000, 0.000), Re at (0.000, 0.500, 0.257) and Pt at (0.000, 0.000, 0.500).

The energy above the lowest structure with this stoichiometry is 66 meV per atom. The value obtained for the final energy is -8.20 eV/atom. For the size of the total moment, the calculation gives 0.00 μB/f.u. The value obtained for the formation energy is 0.1 eV per formula unit. For the density of states at the Fermi level, the calculation gives 4.66 states/eV/cell. The volume is 112.9 Å³/cell. The calculation puts the mass density at 16.90 Mg/m³.

Entry 5:
First-principles (GGA-PBE) data for a relaxed structure of TaAsH2O, as listed in Alexandria.

The structure belongs to space group P4/mmm (No. 123); the cell edges are 3.449, 3.449 and 5.280 Å and the angles 90.00°, 90.00° and 90.00°. Symmetry generates all atoms from Ta at (0.000, 0.000, 0.000), As at (0.000, 0.000, 0.500), H at (0.000, 0.500, 0.000) and O at (0.500, 0.500, 0.500).

The value obtained for the final energy is -5.29 eV/atom. For the size of the total moment, the calculation gives 0.00 μB/f.u. For the density of states at the Fermi level, the calculation gives 2.83 states/eV/cell. The volume is 62.8 Å³/cell. The calculation puts the mass density at 7.24 Mg/m³.

Entry 6:
First-principles (GGA-PBE) data for a relaxed structure of LiIrCl2, as listed in Alexandria.

The structure belongs to space group R-3m (No. 166, hexagonal axes); the cell edges are 4.1381, 4.1381 and 18.9848 Å and the angles 90.00°, 90.00° and 120.00°. Symmetry generates all atoms from Li at (0.0000, 0.0000, 0.0000), Ir at (0.0000, 0.0000, 0.5000) and Cl at (0.0000, 0.0000, 0.1170).

The energy above the lowest structure with this stoichiometry is 533 meV per atom. The value obtained for the final energy is -3.56 eV/atom. For the size of the total moment, the calculation gives 0.00 μB/f.u. For the density of states at the Fermi level, the calculation gives 7.16 states/eV/cell. The volume is 281.5 Å³/cell. The calculation puts the mass density at 4.78 Mg/m³.